Record 1
# CsRb2Na | Alexandria | PBE | relaxed
# **Symmetry**: P4/mmm
# **Energy above the most stable polymorph in this dataset**: 9.0 meV/atom
# **N(E_F)**: 3.2 states/eV per cell
# **Electronic total energy**: -1.00 eV/atom
# **Formation energy from the elements**: 0.025 eV/atom
data_CsRb2Na
_chemical_formula_sum 'Cs1 Rb2 Na1'
_cell_length_a 5.114
_cell_length_b 5.114
_cell_length_c 12.521
_cell_angle_alpha 90.00
_cell_angle_beta 90.00
_cell_angle_gamma 90.00
_symmetry_space_group_name_H-M 'P 1'
_symmetry_Int_Tables_number 1
loop_
_symmetry_equiv_pos_as_xyz
'x,y,z'
loop_
_atom_site_label
_atom_site_fract_x
_atom_site_fract_y
_atom_site_fract_z
Cs1 0.000 0.000 0.000
Rb1 0.500 0.500 0.307
Rb2 0.500 0.500 0.693
Na1 0.000 0.000 0.500


Record 2
# CsRb2Na | Alexandria | PBE | relaxed
# **Symmetry**: Fm-3m
# **Energy above the most stable polymorph in this dataset**: 19.0 meV/atom
# **N(E_F)**: 3.2 states/eV per cell
# **Electronic total energy**: -0.99 eV/atom
# **Formation energy from the elements**: 0.035 eV/atom
data_CsRb2Na
_chemical_formula_sum 'Cs1 Rb2 Na1'
_cell_length_a 7.620
_cell_length_b 7.620
_cell_length_c 7.620
_cell_angle_alpha 60.00
_cell_angle_beta 60.00
_cell_angle_gamma 60.00
_symmetry_space_group_name_H-M 'P 1'
_symmetry_Int_Tables_number 1
loop_
_symmetry_equiv_pos_as_xyz
'x,y,z'
loop_
_atom_site_label
_atom_site_fract_x
_atom_site_fract_y
_atom_site_fract_z
Cs1 0.000 0.000 0.000
Rb1 0.250 0.250 0.250
Rb2 0.750 0.750 0.750
Na1 0.500 0.500 0.500


Record 3
# Cs2Rb5Na2 | Alexandria | PBE | relaxed
# **Symmetry**: Ima2
# **Energy above the most stable polymorph in this dataset**: 0.0 meV/atom
# **N(E_F)**: 14.7 states/eV per cell
# **Electronic total energy**: -0.97 eV/atom
# **Formation energy from the elements**: 0.053 eV/atom
data_Cs2Rb5Na2
_chemical_formula_sum 'Cs4 Rb10 Na4'
_cell_length_a 13.753
_cell_length_b 13.753
_cell_length_c 13.753
_cell_angle_alpha 77.04
_cell_angle_beta 121.30
_cell_angle_gamma 134.81
_symmetry_space_group_name_H-M 'P 1'
_symmetry_Int_Tables_number 1
loop_
_symmetry_equiv_pos_as_xyz
'x,y,z'
loop_
_atom_site_label
_atom_site_fract_x
_atom_site_fract_y
_atom_site_fract_z
Cs1 0.001 0.126 0.127
Cs2 0.001 0.374 0.375
Cs3 0.999 0.626 0.625
Cs4 0.999 0.874 0.873
Rb1 0.179 0.311 0.773
Rb2 0.179 0.906 0.368
Rb3 0.420 0.736 0.977
Rb4 0.420 0.943 0.184
Rb5 0.460 0.396 0.564
Rb6 0.538 0.406 0.227
Rb7 0.538 0.811 0.632
Rb8 0.759 0.236 0.816
Rb9 0.759 0.443 0.023
Rb10 0.832 0.896 0.436
Na1 0.321 0.573 0.248
Na2 0.325 0.073 0.752
Na3 0.683 0.183 0.500
Na4 0.683 0.683 0.000


Record 4
# Cs3Rb8Na3 | Alexandria | PBE | relaxed
# **Symmetry**: C2/m
# **N(E_F)**: 12.0 states/eV per cell
# **Electronic total energy**: -0.98 eV/atom
# **Formation energy from the elements**: 0.034 eV/atom
data_Cs3Rb8Na3
_chemical_formula_sum 'Cs3 Rb8 Na3'
_cell_length_a 13.379
_cell_length_b 13.379
_cell_length_c 13.891
_cell_angle_alpha 117.80
_cell_angle_beta 117.80
_cell_angle_gamma 33.18
_symmetry_space_group_name_H-M 'P 1'
_symmetry_Int_Tables_number 1
loop_
_symmetry_equiv_pos_as_xyz
'x,y,z'
loop_
_atom_site_label
_atom_site_fract_x
_atom_site_fract_y
_atom_site_fract_z
Cs1 0.000 0.000 0.000
Cs2 0.279 0.279 0.286
Cs3 0.721 0.721 0.714
Rb1 0.134 0.134 0.422
Rb2 0.144 0.144 0.831
Rb3 0.361 0.361 0.953
Rb4 0.493 0.493 0.667
Rb5 0.507 0.507 0.333
Rb6 0.639 0.639 0.047
Rb7 0.856 0.856 0.169
Rb8 0.866 0.866 0.578
Na1 0.000 0.000 0.500
Na2 0.312 0.312 0.632
Na3 0.688 0.688 0.368


Record 5
# Cs3RbNa4 | Alexandria | PBE | relaxed
# **Symmetry**: Imm2
# **N(E_F)**: 6.1 states/eV per cell
# **Electronic total energy**: -1.05 eV/atom
# **Formation energy from the elements**: 0.047 eV/atom
data_Cs3RbNa4
_chemical_formula_sum 'Cs3 Rb1 Na4'
_cell_length_a 9.377
_cell_length_b 9.377
_cell_length_c 9.377
_cell_angle_alpha 128.27
_cell_angle_beta 113.43
_cell_angle_gamma 89.02
_symmetry_space_group_name_H-M 'P 1'
_symmetry_Int_Tables_number 1
loop_
_symmetry_equiv_pos_as_xyz
'x,y,z'
loop_
_atom_site_label
_atom_site_fract_x
_atom_site_fract_y
_atom_site_fract_z
Cs1 0.000 0.000 0.000
Cs2 0.416 0.655 0.762
Cs3 0.893 0.655 0.238
Rb1 0.563 0.063 0.500
Na1 0.020 0.340 0.680
Na2 0.333 0.126 0.793
Na3 0.333 0.539 0.207
Na4 0.660 0.340 0.320


Record 6
# Cs3Rb3Na2 | Alexandria | PBE | relaxed
# **Symmetry**: Cmcm
# **Energy above the most stable polymorph in this dataset**: 9.3 meV/atom
# **N(E_F)**: 14.2 states/eV per cell
# **Electronic total energy**: -0.98 eV/atom
# **Formation energy from the elements**: 0.030 eV/atom
data_Cs3Rb3Na2
_chemical_formula_sum 'Cs6 Rb6 Na4'
_cell_length_a 9.048
_cell_length_b 9.048
_cell_length_c 26.546
_cell_angle_alpha 90.00
_cell_angle_beta 90.00
_cell_angle_gamma 140.65
_symmetry_space_group_name_H-M 'P 1'
_symmetry_Int_Tables_number 1
loop_
_symmetry_equiv_pos_as_xyz
'x,y,z'
loop_
_atom_site_label
_atom_site_fract_x
_atom_site_fract_y
_atom_site_fract_z
Cs1 0.055 0.945 0.611
Cs2 0.055 0.945 0.889
Cs3 0.342 0.658 0.750
Cs4 0.658 0.342 0.250
Cs5 0.945 0.055 0.111
Cs6 0.945 0.055 0.389
Rb1 0.352 0.648 0.530
Rb2 0.352 0.648 0.970
Rb3 0.381 0.619 0.250
Rb4 0.619 0.381 0.750
Rb5 0.648 0.352 0.030
Rb6 0.648 0.352 0.470
Na1 0.232 0.768 0.124
Na2 0.232 0.768 0.376
Na3 0.768 0.232 0.624
Na4 0.768 0.232 0.876


Record 7
# CsRb2Na | Alexandria | PBE | relaxed
# **Symmetry**: P2_1/c
# **Energy above the most stable polymorph in this dataset**: 0.0 meV/atom
# **N(E_F)**: 12.3 states/eV per cell
# **Electronic total energy**: -1.01 eV/atom
# **Formation energy from the elements**: 0.016 eV/atom
data_CsRb2Na
_chemical_formula_sum 'Cs4 Rb8 Na4'
_cell_length_a 13.419
_cell_length_b 8.687
_cell_length_c 12.131
_cell_angle_alpha 90.00
_cell_angle_beta 111.28
_cell_angle_gamma 90.00
_symmetry_space_group_name_H-M 'P 1'
_symmetry_Int_Tables_number 1
loop_
_symmetry_equiv_pos_as_xyz
'x,y,z'
loop_
_atom_site_label
_atom_site_fract_x
_atom_site_fract_y
_atom_site_fract_z
Cs1 0.119 0.106 0.227
Cs2 0.119 0.394 0.727
Cs3 0.881 0.606 0.273
Cs4 0.881 0.894 0.773
Rb1 0.302 0.599 0.449
Rb2 0.302 0.901 0.949
Rb3 0.433 0.104 0.648
Rb4 0.433 0.396 0.148
Rb5 0.567 0.604 0.852
Rb6 0.567 0.896 0.352
Rb7 0.698 0.099 0.051
Rb8 0.698 0.401 0.551
Na1 0.118 0.605 0.080
Na2 0.118 0.895 0.580
Na3 0.882 0.105 0.420
Na4 0.882 0.395 0.920


Record 8
# CsRb8Na2 | Alexandria | PBE | relaxed
# **Symmetry**: C2/m
# **Energy above the most stable polymorph in this dataset**: 0.0 meV/atom
# **N(E_F)**: 9.1 states/eV per cell
# **Electronic total energy**: -1.00 eV/atom
# **Formation energy from the elements**: 0.024 eV/atom
data_CsRb8Na2
_chemical_formula_sum 'Cs1 Rb8 Na2'
_cell_length_a 12.495
_cell_length_b 12.495
_cell_length_c 11.574
_cell_angle_alpha 111.73
_cell_angle_beta 111.73
_cell_angle_gamma 32.78
_symmetry_space_group_name_H-M 'P 1'
_symmetry_Int_Tables_number 1
loop_
_symmetry_equiv_pos_as_xyz
'x,y,z'
loop_
_atom_site_label
_atom_site_fract_x
_atom_site_fract_y
_atom_site_fract_z
Cs1 0.000 0.000 0.000
Rb1 0.114 0.114 0.481
Rb2 0.187 0.187 0.928
Rb3 0.337 0.337 0.750
Rb4 0.451 0.451 0.275
Rb5 0.549 0.549 0.725
Rb6 0.663 0.663 0.250
Rb7 0.813 0.813 0.072
Rb8 0.886 0.886 0.519
Na1 0.277 0.277 0.331
Na2 0.723 0.723 0.669


Record 9
# Cs12Rb7Na2 | Alexandria | PBE | relaxed
# **Symmetry**: P-3
# **N(E_F)**: 21.2 states/eV per cell
# **Electronic total energy**: -0.92 eV/atom
# **Formation energy from the elements**: 0.011 eV/atom
data_Cs12Rb7Na2
_chemical_formula_sum 'Cs12 Rb7 Na2'
_cell_length_a 21.276
_cell_length_b 21.276
_cell_length_c 5.334
_cell_angle_alpha 90.00
_cell_angle_beta 90.00
_cell_angle_gamma 120.00
_symmetry_space_group_name_H-M 'P 1'
_symmetry_Int_Tables_number 1
loop_
_symmetry_equiv_pos_as_xyz
'x,y,z'
loop_
_atom_site_label
_atom_site_fract_x
_atom_site_fract_y
_atom_site_fract_z
Cs1 0.068 0.255 0.224
Cs2 0.084 0.632 0.236
Cs3 0.187 0.932 0.224
Cs4 0.255 0.187 0.776
Cs5 0.368 0.452 0.236
Cs6 0.452 0.084 0.764
Cs7 0.548 0.916 0.236
Cs8 0.632 0.548 0.764
Cs9 0.745 0.813 0.224
Cs10 0.813 0.068 0.776
Cs11 0.916 0.368 0.764
Cs12 0.932 0.745 0.776
Rb1 0.000 0.000 0.500
Rb2 0.193 0.501 0.723
Rb3 0.309 0.807 0.723
Rb4 0.499 0.691 0.723
Rb5 0.501 0.309 0.277
Rb6 0.691 0.193 0.277
Rb7 0.807 0.499 0.277
Na1 0.333 0.667 0.221
Na2 0.667 0.333 0.779


Record 10
# CsRb3Na | Alexandria | PBE | relaxed
# **Symmetry**: Pm-3m
# **Energy above the most stable polymorph in this dataset**: 322.0 meV/atom
# **N(E_F)**: 6.5 states/eV per cell
# **Electronic total energy**: -0.67 eV/atom
# **Formation energy from the elements**: 0.344 eV/atom
data_CsRb3Na
_chemical_formula_sum 'Cs1 Rb3 Na1'
_cell_length_a 8.385
_cell_length_b 8.385
_cell_length_c 8.385
_cell_angle_alpha 90.00
_cell_angle_beta 90.00
_cell_angle_gamma 90.00
_symmetry_space_group_name_H-M 'P 1'
_symmetry_Int_Tables_number 1
loop_
_symmetry_equiv_pos_as_xyz
'x,y,z'
loop_
_atom_site_label
_atom_site_fract_x
_atom_site_fract_y
_atom_site_fract_z
Cs1 0.000 0.000 0.000
Rb1 0.000 0.000 0.500
Rb2 0.000 0.500 0.000
Rb3 0.500 0.000 0.000
Na1 0.500 0.500 0.500


Record 11
# CsRb2Na4 | Alexandria | PBE | relaxed
# **Symmetry**: C2/c
# **Energy above the most stable polymorph in this dataset**: 0.0 meV/atom
# **N(E_F)**: 7.8 states/eV per cell
# **Electronic total energy**: -1.11 eV/atom
# **Formation energy from the elements**: 0.039 eV/atom
data_CsRb2Na4
_chemical_formula_sum 'Cs2 Rb4 Na8'
_cell_length_a 12.776
_cell_length_b 12.776
_cell_length_c 7.724
_cell_angle_alpha 90.02
_cell_angle_beta 90.02
_cell_angle_gamma 42.93
_symmetry_space_group_name_H-M 'P 1'
_symmetry_Int_Tables_number 1
loop_
_symmetry_equiv_pos_as_xyz
'x,y,z'
loop_
_atom_site_label
_atom_site_fract_x
_atom_site_fract_y
_atom_site_fract_z
Cs1 0.222 0.778 0.750
Cs2 0.778 0.222 0.250
Rb1 0.155 0.434 0.751
Rb2 0.434 0.155 0.251
Rb3 0.566 0.845 0.749
Rb4 0.845 0.566 0.249
Na1 0.140 0.142 0.501
Na2 0.142 0.140 0.001
Na3 0.225 0.607 0.249
Na4 0.393 0.775 0.251
Na5 0.607 0.225 0.749
Na6 0.775 0.393 0.751
Na7 0.858 0.860 0.999
Na8 0.860 0.858 0.499


Record 12
# CsRb2Na3 | Alexandria | PBE | relaxed
# **Symmetry**: P4/mmm
# **N(E_F)**: 3.8 states/eV per cell
# **Electronic total energy**: -1.09 eV/atom
# **Formation energy from the elements**: 0.035 eV/atom
data_CsRb2Na3
_chemical_formula_sum 'Cs1 Rb2 Na3'
_cell_length_a 5.015
_cell_length_b 5.015
_cell_length_c 15.314
_cell_angle_alpha 90.00
_cell_angle_beta 90.00
_cell_angle_gamma 90.00
_symmetry_space_group_name_H-M 'P 1'
_symmetry_Int_Tables_number 1
loop_
_symmetry_equiv_pos_as_xyz
'x,y,z'
loop_
_atom_site_label
_atom_site_fract_x
_atom_site_fract_y
_atom_site_fract_z
Cs1 0.000 0.000 0.000
Rb1 0.000 0.000 0.338
Rb2 0.000 0.000 0.662
Na1 0.500 0.500 0.180
Na2 0.500 0.500 0.500
Na3 0.500 0.500 0.820